Record 1
Below is a relaxed structure of MgBePO2, with properties calculated at the PBE-GGA level.

Its polymorph energy (0 for the lowest one) is 0 meV/atom. As for the uncorrected formation energy: -0.482 eV/atom. The value obtained for the magnetic moment is 0.07 μB/cell.

The space group is P4/mmm (No. 123) and the conventional cell measures 3.5119, 3.5119 and 4.8172 Å, with angles of 90.00, 90.00 and 90.00 degrees. The asymmetric unit holds Mg at (0.0000, 0.0000, 0.0000), Be at (0.5000, 0.5000, 0.5000), P at (0.5000, 0.5000, 0.0000) and O at (0.0000, 0.5000, 0.5000).

---

Record 2
Below is a relaxed structure of MgBeP2O, with properties calculated at the PBE-GGA level.

Its polymorph energy (0 for the lowest one) is 1032 meV/atom. As for the uncorrected formation energy: 0.685 eV/atom. The value obtained for the magnetic moment is 0.00 μB/cell.

The space group is P4/mmm (No. 123) and the conventional cell measures 4.9865, 4.9865 and 3.5379 Å, with angles of 90.00, 90.00 and 90.00 degrees. The asymmetric unit holds Mg at (0.0000, 0.0000, 0.0000), Be at (0.5000, 0.5000, 0.5000), P at (0.0000, 0.5000, 0.0000) and O at (0.0000, 0.0000, 0.5000).

---

Record 3
Below is a relaxed structure of Mg2PaBeO6, with properties calculated at the PBE-GGA level.

As for the uncorrected formation energy: -2.611 eV/atom. The value obtained for the magnetic moment is 2.15 μB/cell.

The space group is R3 (No. 146, hexagonal axes) and the conventional cell measures 5.1798, 5.1798 and 15.1039 Å, with angles of 90.00, 90.00 and 120.00 degrees. The asymmetric unit holds Mg at (0.0000, 0.0000, 0.0000), Mg at (0.0000, 0.0000, 0.4883), Pa at (0.0000, 0.0000, 0.2032), Be at (0.0000, 0.0000, 0.7598), O at (0.0052, 0.3722, 0.4314) and O at (0.0140, 0.6373, 0.2543).

---

Record 4
Below is a relaxed structure of MgPa2BeO8, with properties calculated at the PBE-GGA level.

As for the uncorrected formation energy: -2.360 eV/atom. The value obtained for the magnetic moment is 1.95 μB/cell.

The space group is P-3m1 (No. 164) and the conventional cell measures 4.8689, 4.8689 and 6.6193 Å, with angles of 90.00, 90.00 and 120.00 degrees. The asymmetric unit holds Mg at (0.0000, 0.0000, 0.0000), Pa at (0.3333, 0.6667, 0.3368), Be at (0.0000, 0.0000, 0.5000), O at (0.1643, 0.3285, 0.6673) and O at (0.3333, 0.6667, 0.0492).